Below is a geometry-optimized Th2SbC structure, with properties calculated at the PBE level.

Unit cell a=3.866 b=3.866 c=8.009 alpha=76.03 beta=76.03 gamma=60.00
Fractional coordinates of all 4 atoms:
1 Th 0.100 0.100 0.701
2 Th 0.237 0.237 0.289
3 Sb 0.667 0.667 0.998
4 C 0.496 0.496 0.512

The density comes out at 9.97 g cm⁻³. The value obtained for the uncorrected formation energy is -0.2315 eV/atom. As for the symmetry: No. 160.

Below is a geometry-optimized Th3Sb2C structure, with properties calculated at the PBE level.

Unit cell a=6.214 b=8.042 c=7.648 alpha=105.09 beta=113.97 gamma=90.00
Fractional coordinates of all 12 atoms:
1 Th 0.457 0.250 0.000
2 Th 0.543 0.750 0.000
3 Th 0.127 0.066 0.261
4 Th 0.867 0.434 0.739
5 Th 0.133 0.566 0.261
6 Th 0.873 0.934 0.739
7 Sb 0.684 0.590 0.362
8 Sb 0.678 0.090 0.362
9 Sb 0.322 0.910 0.638
10 Sb 0.316 0.410 0.638
11 C 0.952 0.750 0.000
12 C 0.048 0.250 0.000

The density comes out at 9.44 g cm⁻³. The value obtained for the uncorrected formation energy is -0.5884 eV/atom. As for the symmetry: No. 15.

Below is a geometry-optimized Th6Sb5C structure, with properties calculated at the PBE level.

Unit cell a=7.554 b=7.686 c=7.616 alpha=59.70 beta=80.35 gamma=70.59
Fractional coordinates of all 12 atoms:
1 Th 0.783 0.070 0.291
2 Th 0.217 0.639 0.291
3 Th 0.235 0.211 0.000
4 Th 0.765 0.789 0.000
5 Th 0.783 0.361 0.709
6 Th 0.217 0.930 0.709
7 Sb 0.500 0.184 0.633
8 Sb 0.000 0.338 0.324
9 Sb 0.500 0.500 0.000
10 Sb 0.000 0.662 0.676
11 Sb 0.500 0.816 0.367
12 C 0.000 0.000 0.000

The density comes out at 9.28 g cm⁻³. The value obtained for the uncorrected formation energy is -0.7571 eV/atom. As for the symmetry: No. 12.

Below is a geometry-optimized Th6SbC3 structure, with properties calculated at the PBE level.

Unit cell a=3.680 b=11.151 c=12.011 alpha=103.63 beta=90.00 gamma=90.00
Fractional coordinates of all 20 atoms:
1 Th 0.750 0.532 0.637
2 Th 0.250 0.468 0.363
3 Th 0.750 0.919 0.093
4 Th 0.250 0.081 0.907
5 Th 0.750 0.379 0.051
6 Th 0.250 0.621 0.949
7 Th 0.750 0.689 0.244
8 Th 0.250 0.311 0.756
9 Th 0.750 0.215 0.481
10 Th 0.250 0.785 0.519
11 Th 0.750 0.816 0.796
12 Th 0.250 0.184 0.204
13 Sb 0.750 0.040 0.664
14 Sb 0.250 0.960 0.336
15 C 0.750 0.461 0.854
16 C 0.250 0.539 0.146
17 C 0.750 0.627 0.439
18 C 0.250 0.373 0.561
19 C 0.750 0.138 0.059
20 C 0.250 0.862 0.941

The density comes out at 10.75 g cm⁻³. The value obtained for the uncorrected formation energy is -0.3090 eV/atom. As for the symmetry: No. 11.

Below is a geometry-optimized Th5Sb2C structure, with properties calculated at the PBE level.

Unit cell a=5.730 b=5.817 c=15.474 alpha=90.00 beta=90.00 gamma=119.50
Fractional coordinates of all 16 atoms:
1 Th 0.920 0.841 0.866
2 Th 0.920 0.841 0.634
3 Th 0.420 0.840 0.366
4 Th 0.420 0.840 0.134
5 Th 0.750 0.500 0.250
6 Th 0.250 0.500 0.750
7 Th 0.580 0.160 0.634
8 Th 0.580 0.160 0.866
9 Th 0.080 0.159 0.134
10 Th 0.080 0.159 0.366
11 Sb 0.750 0.500 0.449
12 Sb 0.750 0.500 0.051
13 Sb 0.250 0.500 0.551
14 Sb 0.250 0.500 0.949
15 C 0.750 0.500 0.750
16 C 0.250 0.500 0.250

The density comes out at 10.47 g cm⁻³. The value obtained for the uncorrected formation energy is -0.3303 eV/atom. As for the symmetry: No. 69.

Below is a geometry-optimized Th12Sb6C structure, with properties calculated at the PBE level.

Unit cell a=8.613 b=8.613 c=8.613 alpha=99.31 beta=99.31 gamma=99.31
Fractional coordinates of all 19 atoms:
1 Th 0.807 0.574 0.455
2 Th 0.455 0.807 0.574
3 Th 0.574 0.455 0.807
4 Th 0.193 0.426 0.545
5 Th 0.545 0.193 0.426
6 Th 0.426 0.545 0.193
7 Th 0.065 0.015 0.302
8 Th 0.985 0.698 0.935
9 Th 0.698 0.935 0.985
10 Th 0.935 0.985 0.698
11 Th 0.015 0.302 0.065
12 Th 0.302 0.065 0.015
13 Sb 0.700 0.880 0.340
14 Sb 0.660 0.300 0.120
15 Sb 0.120 0.660 0.300
16 Sb 0.300 0.120 0.660
17 Sb 0.340 0.700 0.880
18 Sb 0.880 0.340 0.700
19 C 0.000 0.000 0.000

The density comes out at 9.59 g cm⁻³. The value obtained for the uncorrected formation energy is -0.3560 eV/atom. As for the symmetry: No. 148.

Below is a geometry-optimized Th6SbC4 structure, with properties calculated at the PBE level.

Unit cell a=3.899 b=6.614 c=20.085 alpha=90.00 beta=90.00 gamma=107.14
Fractional coordinates of all 22 atoms:
1 Th 0.500 0.000 0.000
2 Th 0.500 0.000 0.500
3 Th 0.042 0.083 0.354
4 Th 0.958 0.917 0.646
5 Th 0.958 0.917 0.854
6 Th 0.042 0.083 0.146
7 Th 0.776 0.551 0.422
8 Th 0.224 0.449 0.578
9 Th 0.224 0.449 0.922
10 Th 0.776 0.551 0.078
11 Th 0.364 0.728 0.250
12 Th 0.636 0.272 0.750
13 Sb 0.666 0.331 0.250
14 Sb 0.334 0.669 0.750
15 C 0.857 0.715 0.538
16 C 0.416 0.831 0.125
17 C 0.143 0.285 0.462
18 C 0.584 0.169 0.875
19 C 0.857 0.715 0.962
20 C 0.143 0.285 0.038
21 C 0.584 0.169 0.625
22 C 0.416 0.831 0.375

The density comes out at 10.48 g cm⁻³. The value obtained for the uncorrected formation energy is -0.4134 eV/atom. As for the symmetry: No. 63.

Below is a geometry-optimized Th7Sb2C2 structure, with properties calculated at the PBE level.

Unit cell a=8.026 b=7.000 c=7.000 alpha=109.47 beta=96.44 gamma=96.44
Fractional coordinates of all 11 atoms:
1 Th 0.201 0.910 0.512
2 Th 0.799 0.488 0.090
3 Th 0.799 0.090 0.488
4 Th 0.201 0.512 0.910
5 Th 0.000 0.000 0.000
6 Th 0.807 0.590 0.590
7 Th 0.193 0.410 0.410
8 Sb 0.500 0.299 0.701
9 Sb 0.500 0.701 0.299
10 C 0.890 0.287 0.287
11 C 0.110 0.713 0.713

The density comes out at 8.64 g cm⁻³. The value obtained for the uncorrected formation energy is -0.0699 eV/atom. As for the symmetry: No. 12.

Below is a geometry-optimized Th4Sb5C structure, with properties calculated at the PBE level.

Unit cell a=4.207 b=8.093 c=9.271 alpha=74.69 beta=103.11 gamma=90.00
Fractional coordinates of all 10 atoms:
1 Th 0.366 0.929 0.732
2 Th 0.041 0.782 0.082
3 Th 0.634 0.071 0.268
4 Th 0.959 0.218 0.918
5 Sb 0.864 0.623 0.728
6 Sb 0.786 0.219 0.572
7 Sb 0.214 0.781 0.428
8 Sb 0.500 0.500 0.000
9 Sb 0.136 0.377 0.272
10 C 0.500 0.000 0.000

The density comes out at 8.69 g cm⁻³. The value obtained for the uncorrected formation energy is -0.4450 eV/atom. As for the symmetry: No. 12.

Below is a geometry-optimized Th2SbC structure, with properties calculated at the PBE level.

Unit cell a=3.932 b=3.932 c=7.798 alpha=90.02 beta=104.60 gamma=119.97
Fractional coordinates of all 4 atoms:
1 Th 0.540 0.270 0.810
2 Th 0.460 0.730 0.190
3 Sb 0.000 0.500 0.500
4 C 0.000 0.000 0.000

The density comes out at 9.94 g cm⁻³. The value obtained for the uncorrected formation energy is -0.5687 eV/atom. As for the symmetry: No. 166.

Below is a geometry-optimized ThSbC structure, with properties calculated at the PBE level.

Unit cell a=4.300 b=4.466 c=8.912 alpha=104.51 beta=103.96 gamma=90.00
Fractional coordinates of all 6 atoms:
1 Sb 0.678 0.178 0.356
2 Sb 0.322 0.822 0.644
3 C 0.648 0.500 0.000
4 C 0.352 0.500 0.000
5 Th 0.124 0.624 0.248
6 Th 0.876 0.376 0.752

The density comes out at 7.57 g cm⁻³. The value obtained for the uncorrected formation energy is -0.1585 eV/atom. As for the symmetry: No. 71.

Below is a geometry-optimized Th3SbC2 structure, with properties calculated at the PBE level.

Unit cell a=4.271 b=5.289 c=12.810 alpha=90.00 beta=90.00 gamma=90.00
Fractional coordinates of all 12 atoms:
1 Th 0.750 0.250 0.250
2 Th 0.250 0.750 0.750
3 Th 0.750 0.750 0.041
4 Th 0.250 0.250 0.959
5 Th 0.250 0.250 0.541
6 Th 0.750 0.750 0.459
7 Sb 0.250 0.750 0.250
8 Sb 0.750 0.250 0.750
9 C 0.250 0.749 0.941
10 C 0.750 0.251 0.059
11 C 0.750 0.251 0.441
12 C 0.250 0.749 0.559

The density comes out at 9.66 g cm⁻³. The value obtained for the uncorrected formation energy is -0.4527 eV/atom. As for the symmetry: No. 71.